DFT (PBE) results for MgZnCoTc after structural relaxation.

Computed properties:
D(E_F) (states/eV per atom): 0.848
Size of the total moment (Bohr magnetons per cell): 2.2
Space group: F-43m, No. 216
Energy of formation from the pure elements (meV per atom): 121

Cell: 4.3037 4.3037 4.3037 Å, 60.00 60.00 60.00°
With the nearest neighbours (Å) after each atom.
Fractional positions:
Zn1 0.2500 0.2500 0.2500  4 Tc 2.64, 4 Mg 2.64
Co1 0.7500 0.7500 0.7500  4 Mg 2.64, 4 Tc 2.64
Tc1 0.5000 0.5000 0.5000  4 Co 2.64, 4 Zn 2.64
Mg1 0.0000 0.0000 0.0000  4 Co 2.64, 4 Zn 2.64